(1)
VASP calculation (PBE-GGA) on AgMoOs2 after structural relaxation.

Computed properties:
E_form = 0.5187 eV per atom
density = 15.87 g/cm³

Cell: 3.9748 3.9748 7.7387 Å, 90.00 90.00 90.00°
Space group I4/mmm (No. 139)
Unique sites:
Ag1 0.0000 0.0000 0.0000 x2
Mo1 0.0000 0.0000 0.5000 x2
Os1 0.0000 0.5000 0.2500 x4

(2)
VASP calculation (PBE-GGA) on AgMo2Os after structural relaxation.

Computed properties:
E_form = 0.3036 eV per atom
density = 12.80 g/cm³

Cell: 2.7812 2.7812 28.4739 Å, 90.00 90.00 120.00°
Space group R-3m (No. 166, hexagonal axes)
Unique sites:
Ag1 0.0000 0.0000 0.0000 x3
Mo1 0.0000 0.0000 0.2451 x6
Os1 0.0000 0.0000 0.5000 x3

(3)
VASP calculation (PBE-GGA) on AgMo2Os after structural relaxation.

Computed properties:
E_form = 0.3823 eV per atom
density = 13.04 g/cm³

Cell: 5.5536 8.0687 2.7843 Å, 90.00 90.00 90.00°
Space group Cmmm (No. 65)
Unique sites:
Ag1 0.0000 0.0000 0.0000 x2
Mo1 0.2500 0.2500 0.5000 x4
Os1 0.0000 0.5000 0.0000 x2